Below is crystalline ZrBr2 at its relaxed geometry, with properties calculated at the PBE-GGA level.

As for the space group: Fd-3m. As for the crystal system: cubic. The final energy is -3.27 eV/atom.

Unit cell a=6.094 b=6.094 c=6.094 alpha=60.00 beta=60.00 gamma=60.00
Element x y z (fractional)
Zr  0.125  0.125  0.125
Zr  0.875  0.875  0.875
Br  0.000  0.500  0.500
Br  0.500  0.000  0.500
Br  0.500  0.500  0.000
Br  0.500  0.500  0.500